No. 1
The following is a PBE calculation of a relaxed BaY2Ga6 crystal, from Alexandria via LeMat-Bulk.

a = 4.518 Å, b = 7.711 Å, c = 12.792 Å
α = 90.00°, β = 90.00°, γ = 90.00°
Space group Immm (No. 71)
Asymmetric unit:
Ba 0.000 0.000 0.000
Y 0.000 0.500 0.127
Ga 0.000 0.165 0.500
Ga 0.000 0.292 0.312

- Distance to the lowest polymorph of the same formula: 31.5 meV/atom

---

No. 2
The following is a PBE calculation of a relaxed LaIn2Ir crystal, from Alexandria via LeMat-Bulk.

a = 4.472 Å, b = 8.221 Å, c = 5.606 Å
α = 90.00°, β = 113.23°, γ = 90.00°
Space group P2_1/m (No. 11)
Asymmetric unit:
La 0.066 0.250 0.131
In 0.352 0.051 0.704
Ir 0.213 0.750 0.430

---

No. 3
The following is a PBE calculation of a relaxed Cd2NiP crystal, from Alexandria via LeMat-Bulk.

a = 3.992 Å, b = 3.992 Å, c = 8.558 Å
α = 90.00°, β = 90.00°, γ = 90.00°
Space group I-4m2 (No. 119)
Asymmetric unit:
Cd 0.000 0.000 0.000
Cd 0.000 0.500 0.250
Ni 0.000 0.500 0.750
P 0.000 0.000 0.500

---

No. 4
The following is a PBE calculation of a relaxed RbUAgS4 crystal, from Alexandria via LeMat-Bulk.

a = 6.619 Å, b = 6.861 Å, c = 8.460 Å
α = 90.00°, β = 95.26°, γ = 90.00°
Space group P2_1/m (No. 11)
Asymmetric unit:
Rb 0.216 0.250 0.052
U 0.173 0.750 0.451
Ag 0.342 0.250 0.644
S 0.076 0.511 0.688
S 0.327 0.750 0.189
S 0.492 0.250 0.389

- Formation energy without anion corrections: -6.35 eV/f.u.

---

| no. | DFT total energy (eV per atom) |
| --- | --- |
| 1 | -4.160 |
| 2 | -5.397 |
| 3 | -3.003 |
| 4 | -5.424 |